# 1
A relaxed KNa5MgHg2 crystal, computed with GGA-PBE.

Cell and atoms, written as CIF:
```
data_KNa5MgHg2
_symmetry_space_group_name_H-M 'P 4/m m m'
_symmetry_Int_Tables_number 123
_symmetry_space_group_name_Hall '-P 4 2'
_cell_length_a 5.789
_cell_length_b 5.789
_cell_length_c 11.381
_cell_angle_alpha 90.00
_cell_angle_beta 90.00
_cell_angle_gamma 90.00
loop_
_atom_site_label
_atom_site_fract_x
_atom_site_fract_y
_atom_site_fract_z
K1 0.000 0.000 0.000
Na1 0.000 0.500 0.333
Na2 0.500 0.500 0.000
Mg1 0.500 0.500 0.500
Hg1 0.500 0.500 0.253
```

Formation energy   0.0024 eV per atom



# 2
A relaxed Ca2ZnBrO crystal, computed with GGA-PBE.

Cell and atoms, written as CIF:
```
data_Ca2ZnBrO
_symmetry_space_group_name_H-M 'P 4/m m m'
_symmetry_Int_Tables_number 123
_symmetry_space_group_name_Hall '-P 4 2'
_cell_length_a 5.488
_cell_length_b 5.488
_cell_length_c 5.093
_cell_angle_alpha 90.00
_cell_angle_beta 90.00
_cell_angle_gamma 90.00
loop_
_atom_site_label
_atom_site_fract_x
_atom_site_fract_y
_atom_site_fract_z
Ca1 0.000 0.500 0.000
Zn1 0.000 0.000 0.500
Br1 0.000 0.000 0.000
O1 0.500 0.500 0.500
```

Uncorrected formation energy   7.07 kJ per mole of atoms



# 3
A relaxed Rb2PaSb2O6 crystal, computed with GGA-PBE.

Cell and atoms, written as CIF:
```
data_Rb2PaSb2O6
_symmetry_space_group_name_H-M 'C 1 2/m 1'
_symmetry_Int_Tables_number 12
_symmetry_space_group_name_Hall '-C 2y'
_cell_length_a 10.121
_cell_length_b 7.238
_cell_length_c 6.652
_cell_angle_alpha 90.00
_cell_angle_beta 110.86
_cell_angle_gamma 90.00
loop_
_atom_site_label
_atom_site_fract_x
_atom_site_fract_y
_atom_site_fract_z
Rb1 0.191 0.000 0.101
Pa1 0.000 0.000 0.500
Sb1 0.054 0.500 0.261
O1 0.026 0.206 0.287
O2 0.243 0.000 0.686
```

Uncorrected formation energy   -192.44 kJ per mole of atoms



# 4
A relaxed Ca2LaRu crystal, computed with GGA-PBE.

Cell and atoms, written as CIF:
```
data_Ca2LaRu
_symmetry_space_group_name_H-M 'C 1 m 1'
_symmetry_Int_Tables_number 8
_symmetry_space_group_name_Hall 'C -2y'
_cell_length_a 12.716
_cell_length_b 3.740
_cell_length_c 5.918
_cell_angle_alpha 90.00
_cell_angle_beta 117.73
_cell_angle_gamma 90.00
loop_
_atom_site_label
_atom_site_fract_x
_atom_site_fract_y
_atom_site_fract_z
Ca1 0.000 0.000 0.000
Ca2 0.183 0.000 0.683
La1 0.362 0.000 0.362
Ru1 0.207 0.500 0.209
```

Energy relative to the lowest polymorph listed for this composition   139 meV/atom
Formation energy   -0.0137 eV per atom



# 5
A relaxed Al2CuSb crystal, computed with GGA-PBE.

Cell and atoms, written as CIF:
```
data_Al2CuSb
_symmetry_space_group_name_H-M 'P 4 m m'
_symmetry_Int_Tables_number 99
_symmetry_space_group_name_Hall 'P 4 -2'
_cell_length_a 2.984
_cell_length_b 2.984
_cell_length_c 8.260
_cell_angle_alpha 90.00
_cell_angle_beta 90.00
_cell_angle_gamma 90.00
loop_
_atom_site_label
_atom_site_fract_x
_atom_site_fract_y
_atom_site_fract_z
Al1 0.000 0.000 0.000
Al2 0.500 0.500 0.245
Cu1 0.000 0.000 0.427
Sb1 0.500 0.500 0.700
```

Uncorrected formation energy   12.24 kJ per mole of atoms